Entry from Alexandria via LeMat-Bulk: a geometry-optimized GdPaNiPd structure (GGA-PBE).

Calculated values
Magnetization ... 1.97 μB per atom
Formation energy ... -31.8 kJ/mol of atoms
ρ ... 11.0 g cm⁻³

Lattice parameters (Å, degrees): 6.935 6.935 6.935 90.00 90.00 90.00
Space group F-43m (No. 216)
Symmetry-distinct sites (fractional):
Gd1 0.000 0.000 0.000
Pa1 0.000 0.000 0.500
Ni1 0.250 0.250 0.750
Pd1 0.250 0.250 0.250